A plane-wave DFT calculation with GGA-PBE was carried out for a relaxed structure of Ac2GdTe.

Computed properties:
**Formation energy without anion corrections**: -0.27 eV per atom
**Spin magnetization**: 24.5 μB/cell
**Energy above the lowest structure with this stoichiometry**: 282.7 meV per atom

Lattice parameters (Å, degrees): 4.0711 4.0711 35.3047 90.00 90.00 120.00
Space group R-3m (No. 166, hexagonal axes)
Unique sites:
Ac 0.0000 0.0000 0.1009 x6
Gd 0.0000 0.0000 0.0000 x3
Te 0.0000 0.0000 0.5000 x3

A plane-wave DFT calculation with GGA-PBE was carried out for a relaxed structure of AcGdTe2.

Computed properties:
**Formation energy without anion corrections**: -1.31 eV per atom
**Spin magnetization**: 32.7 μB/cell
**Energy above the lowest structure with this stoichiometry**: 5.8 meV per atom

Lattice parameters (Å, degrees): 7.922 7.922 7.922 90.00 90.00 90.00
Space group Fm-3m (No. 225)
Unique sites:
Ac 0.000 0.000 0.000 x4
Gd 0.000 0.000 0.500 x4
Te 0.250 0.250 0.250 x8

A plane-wave DFT calculation with GGA-PBE was carried out for a relaxed structure of AcGdTh2.

Computed properties:
**Spin magnetization**: 21.1 μB/cell
**Energy above the lowest structure with this stoichiometry**: 126.6 meV per atom
**DFT formation energy**: 255 meV per atom

Lattice parameters (Å, degrees): 3.5885 3.5885 38.4223 90.00 90.00 120.00
Space group R-3m (No. 166, hexagonal axes)
Unique sites:
Ac 0.0000 0.0000 0.0000 x3
Gd 0.0000 0.0000 0.5000 x3
Th 0.0000 0.0000 0.0909 x6

A plane-wave DFT calculation with GGA-PBE was carried out for a relaxed structure of AcGdTh2.

Computed properties:
**Spin magnetization**: 7.0 μB/cell
**Energy above the lowest structure with this stoichiometry**: 0.0 meV per atom
**DFT formation energy**: 128 meV per atom

Lattice parameters (Å, degrees): 5.136 5.136 5.267 90.00 90.00 90.00
Space group P4/mmm (No. 123)
Unique sites:
Ac 0.000 0.000 0.000 x1
Gd 0.500 0.500 0.000 x1
Th 0.000 0.500 0.500 x2

A plane-wave DFT calculation with GGA-PBE was carried out for a relaxed structure of AcGdTh2.

Computed properties:
**Spin magnetization**: 7.1 μB/cell
**Energy above the lowest structure with this stoichiometry**: 4.5 meV per atom
**DFT formation energy**: 133 meV per atom

Lattice parameters (Å, degrees): 3.642 3.642 10.505 90.00 90.00 90.00
Space group P4/mmm (No. 123)
Unique sites:
Ac 0.000 0.000 0.000 x1
Gd 0.000 0.000 0.500 x1
Th 0.500 0.500 0.262 x2

A plane-wave DFT calculation with GGA-PBE was carried out for a relaxed structure of AcGdThTl.

Computed properties:
**Spin magnetization**: 30.0 μB/cell
**DFT formation energy**: 97 meV per atom

Lattice parameters (Å, degrees): 8.021 8.021 8.021 90.00 90.00 90.00
Space group F-43m (No. 216)
Unique sites:
Ac 0.000 0.000 0.000 x4
Gd 0.250 0.250 0.250 x4
Th 0.250 0.250 0.750 x4
Tl 0.000 0.000 0.500 x4

A plane-wave DFT calculation with GGA-PBE was carried out for a relaxed structure of AcGdTmTh.

Computed properties:
**Spin magnetization**: 29.4 μB/cell
**DFT formation energy**: 144 meV per atom

Lattice parameters (Å, degrees): 8.204 8.204 8.204 90.00 90.00 90.00
Space group F-43m (No. 216)
Unique sites:
Ac 0.000 0.000 0.000 x4
Gd 0.250 0.250 0.250 x4
Tm 0.250 0.250 0.750 x4
Th 0.000 0.000 0.500 x4

A plane-wave DFT calculation with GGA-PBE was carried out for a relaxed structure of AcGdThZr.

Computed properties:
**Spin magnetization**: 26.1 μB/cell
**DFT formation energy**: 200 meV per atom

Lattice parameters (Å, degrees): 7.970 7.970 7.970 90.00 90.00 90.00
Space group F-43m (No. 216)
Unique sites:
Ac 0.000 0.000 0.000 x4
Gd 0.250 0.250 0.750 x4
Th 0.000 0.000 0.500 x4
Zr 0.250 0.250 0.250 x4

A plane-wave DFT calculation with GGA-PBE was carried out for a relaxed structure of AcGdTl2.

Computed properties:
**Spin magnetization**: 7.3 μB/cell
**DFT formation energy**: -360 meV per atom

Lattice parameters (Å, degrees): 3.948 3.948 8.083 90.00 90.00 90.00
Space group P4/mmm (No. 123)
Unique sites:
Ac 0.000 0.000 0.000 x1
Gd 0.000 0.000 0.500 x1
Tl 0.500 0.500 0.274 x2

A plane-wave DFT calculation with GGA-PBE was carried out for a relaxed structure of Ac2GdTl.

Computed properties:
**Spin magnetization**: 8.1 μB/cell
**Energy above the lowest structure with this stoichiometry**: 0.0 meV per atom
**DFT formation energy**: -132 meV per atom

Lattice parameters (Å, degrees): 5.296 5.296 5.079 90.00 90.00 90.00
Space group P4/mmm (No. 123)
Unique sites:
Ac 0.000 0.500 0.000 x2
Gd 0.000 0.000 0.500 x1
Tl 0.500 0.500 0.500 x1

A plane-wave DFT calculation with GGA-PBE was carried out for a relaxed structure of Ac2GdTl.

Computed properties:
**Spin magnetization**: 7.7 μB/cell
**Energy above the lowest structure with this stoichiometry**: 17.4 meV per atom
**DFT formation energy**: -114 meV per atom

Lattice parameters (Å, degrees): 3.965 3.965 9.548 90.00 90.00 90.00
Space group P4/mmm (No. 123)
Unique sites:
Ac 0.000 0.000 0.233 x2
Gd 0.500 0.500 0.500 x1
Tl 0.500 0.500 0.000 x1

A plane-wave DFT calculation with GGA-PBE was carried out for a relaxed structure of AcGd2Tl.

Computed properties:
**Spin magnetization**: 63.6 μB/cell
**Energy above the lowest structure with this stoichiometry**: 168.6 meV per atom
**DFT formation energy**: -14 meV per atom

Lattice parameters (Å, degrees): 8.007 8.007 8.007 90.00 90.00 90.00
Space group Fm-3m (No. 225)
Unique sites:
Ac 0.000 0.000 0.000 x4
Gd 0.250 0.250 0.250 x8
Tl 0.000 0.000 0.500 x4